Record 1
# MgTaNiRh PBE-GGA relaxed
data_MgTaNiRh
_chemical_formula_sum 'Mg4 Ta4 Ni4 Rh4'
_cell_length_a 6.215
_cell_length_b 6.215
_cell_length_c 6.215
_cell_angle_alpha 90.00
_cell_angle_beta 90.00
_cell_angle_gamma 90.00
_symmetry_space_group_name_H-M 'F -4 3 m'
_symmetry_Int_Tables_number 216
_symmetry_space_group_name_Hall 'F -4 2 3'
loop_
_atom_site_label
_atom_site_type_symbol
_atom_site_fract_x
_atom_site_fract_y
_atom_site_fract_z
Mg1 Mg 0.000 0.000 0.000
Ta1 Ta 0.000 0.000 0.500
Ni1 Ni 0.250 0.250 0.250
Rh1 Rh 0.250 0.250 0.750
# V (Å³/atom): 15.0
# E (eV per formula unit): -27.9
# Calculated density (g/cm3): 10.15
# Formation energy from the elements (eV per atom): -0.342
# D(E_F) (states/eV per atom): 1.069

***

Record 2
# Sm6OsO12 PBE-GGA relaxed
data_Sm6OsO12
_chemical_formula_sum 'Sm18 Os3 O36'
_cell_length_a 10.0592
_cell_length_b 10.0592
_cell_length_c 9.6323
_cell_angle_alpha 90.00
_cell_angle_beta 90.00
_cell_angle_gamma 120.00
_symmetry_space_group_name_H-M 'R -3'
_symmetry_Int_Tables_number 148
_symmetry_space_group_name_Hall '-R 3'
loop_
_atom_site_label
_atom_site_type_symbol
_atom_site_fract_x
_atom_site_fract_y
_atom_site_fract_z
Sm1 Sm 0.0446 0.7888 0.1446
Os1 Os 0.0000 0.0000 0.5000
O1 O 0.0354 0.8104 0.9025
O2 O 0.0395 0.8575 0.3910
# V (Å³/atom): 14.8
# E (eV per formula unit): -155.2
# Calculated density (g/cm3): 7.58
# Raw formation energy (eV/atom): -2.96
# D(E_F) (states/eV per atom): 0.466

***

Question: Which of these has the highest calculated density?
Answer: MgTaNiRh

***

Question: Which of these has the highest D(E_F)?
Answer: MgTaNiRh

***

Question: Which of these has the lowest D(E_F)?
Answer: Sm6OsO12